Entry i
# PrHo2Sb

An optimized crystal structure of PrHo2Sb (PBE, the Alexandria database).

Space group   P4/mmm (123)
Magnetization   0.00 μB per formula unit

Unit cell a=3.9771 b=3.9771 c=7.4688 alpha=90.00 beta=90.00 gamma=90.00
With the nearest neighbours (Å) after each atom.
Fractional positions:
Pr  0.0000  0.0000  0.0000  8 Ho 3.52, 2 Sb 3.73
Ho  0.5000  0.5000  0.2844  1 Ho 3.22, 4 Sb 3.24, 4 Pr 3.52
Ho  0.5000  0.5000  0.7156  1 Ho 3.22, 4 Sb 3.24, 4 Pr 3.52
Sb  0.0000  0.0000  0.5000  8 Ho 3.24

Entry ii
# PrHo2Sb

An optimized crystal structure of PrHo2Sb (PBE, the Alexandria database).

Space group   Cmcm (63)
Magnetization   0.69 μB per formula unit

Unit cell a=4.1402 b=12.3933 c=9.6083 alpha=90.00 beta=90.00 gamma=90.00
With the nearest neighbours (Å) after each atom.
Fractional positions:
Pr  0.0000  0.0559  0.2500  3 Sb 3.31-3.62, 4 Ho 3.63
Pr  0.0000  0.9441  0.7500  3 Sb 3.31-3.62, 4 Ho 3.63
Pr  0.5000  0.4441  0.7500  3 Sb 3.31-3.62, 4 Ho 3.63
Pr  0.5000  0.5559  0.2500  3 Sb 3.31-3.62, 4 Ho 3.63
Ho  0.0000  0.3619  0.0414  3 Sb 3.13-3.21
Ho  0.0000  0.3619  0.4586  3 Sb 3.13-3.21
Ho  0.0000  0.6381  0.5414  3 Sb 3.13-3.21
Ho  0.0000  0.6381  0.9586  3 Sb 3.13-3.21
Ho  0.5000  0.1381  0.5414  3 Sb 3.13-3.21
Ho  0.5000  0.1381  0.9586  3 Sb 3.13-3.21
Ho  0.5000  0.8619  0.0414  3 Sb 3.13-3.21
Ho  0.5000  0.8619  0.4586  3 Sb 3.13-3.21
Sb  0.0000  0.2359  0.7500  6 Ho 3.13-3.21, 2 Pr 3.31
Sb  0.0000  0.7641  0.2500  6 Ho 3.13-3.21, 2 Pr 3.31
Sb  0.5000  0.2641  0.2500  6 Ho 3.13-3.21, 2 Pr 3.31
Sb  0.5000  0.7359  0.7500  6 Ho 3.13-3.21, 2 Pr 3.31

The structure with the most favorable energy is entry ii; the runner-up is 8.8 kJ/mol of atoms above it.

Entry i
# PrHo2Sb

An optimized crystal structure of PrHo2Sb (PBE, the Alexandria database).

Space group   R3m (160)
Magnetization   0.40 μB per formula unit

Unit cell a=4.0107 b=4.0107 c=28.8490 alpha=90.00 beta=90.00 gamma=120.00
With the nearest neighbours (Å) after each atom.
Fractional positions:
Pr  0.0000  0.0000  0.0000  6 Ho 3.69-3.72, 6 Pr 4.01
Pr  0.3333  0.6667  0.6667  6 Ho 3.69-3.72, 6 Pr 4.01
Pr  0.6667  0.3333  0.3333  6 Ho 3.69-3.72, 6 Pr 4.01
Ho  0.0000  0.0000  0.2339  3 Sb 3.00
Ho  0.0000  0.0000  0.4343  3 Sb 3.01
Ho  0.3333  0.6667  0.1010  3 Sb 3.01
Ho  0.3333  0.6667  0.9006  3 Sb 3.00
Ho  0.6667  0.3333  0.5673  3 Sb 3.00
Ho  0.6667  0.3333  0.7676  3 Sb 3.01
Sb  0.0000  0.0000  0.8345  6 Ho 3.00-3.01
Sb  0.3333  0.6667  0.5011  6 Ho 3.00-3.01
Sb  0.6667  0.3333  0.1678  6 Ho 3.00-3.01

Entry ii
# PrHo2Sb

An optimized crystal structure of PrHo2Sb (PBE, the Alexandria database).

Space group   Fm-3m (225)
Magnetization   0.00 μB per formula unit

Unit cell a=7.6570 b=7.6570 c=7.6570 alpha=90.00 beta=90.00 gamma=90.00
With the nearest neighbours (Å) after each atom.
Fractional positions:
Pr  0.0000  0.0000  0.0000  8 Ho 3.32
Pr  0.0000  0.5000  0.5000  8 Ho 3.32
Pr  0.5000  0.0000  0.5000  8 Ho 3.32
Pr  0.5000  0.5000  0.0000  8 Ho 3.32
Ho  0.2500  0.2500  0.2500  4 Pr 3.32, 4 Sb 3.32
Ho  0.2500  0.2500  0.7500  4 Pr 3.32, 4 Sb 3.32
Ho  0.2500  0.7500  0.2500  4 Pr 3.32, 4 Sb 3.32
Ho  0.2500  0.7500  0.7500  4 Pr 3.32, 4 Sb 3.32
Ho  0.7500  0.2500  0.2500  4 Pr 3.32, 4 Sb 3.32
Ho  0.7500  0.2500  0.7500  4 Pr 3.32, 4 Sb 3.32
Ho  0.7500  0.7500  0.2500  4 Pr 3.32, 4 Sb 3.32
Ho  0.7500  0.7500  0.7500  4 Pr 3.32, 4 Sb 3.32
Sb  0.0000  0.0000  0.5000  8 Ho 3.32
Sb  0.0000  0.5000  0.0000  8 Ho 3.32
Sb  0.5000  0.0000  0.0000  8 Ho 3.32
Sb  0.5000  0.5000  0.5000  8 Ho 3.32

The structure with the most favorable energy is entry i; the runner-up is 9.6 kJ/mol of atoms above it.

Entry i
# Pr3HoSb3

An optimized crystal structure of Pr3HoSb3 (PBE, the Alexandria database).

Space group   P2_13 (198)
Magnetization   0.00 μB per formula unit

Unit cell a=9.4882 b=9.4882 c=9.4882 alpha=90.00 beta=90.00 gamma=90.00
With the nearest neighbours (Å) after each atom.
Fractional positions:
Pr  0.0664  0.4336  0.5664  6 Sb 3.20-3.39
Pr  0.1767  0.8233  0.3233  6 Sb 3.17-3.42
Pr  0.1796  0.1796  0.1796  6 Sb 3.16-3.46
Pr  0.3204  0.8204  0.6796  6 Sb 3.16-3.46
Pr  0.3233  0.1767  0.8233  6 Sb 3.17-3.42
Pr  0.4336  0.5664  0.0664  6 Sb 3.20-3.39
Pr  0.5664  0.0664  0.4336  6 Sb 3.20-3.39
Pr  0.6767  0.6767  0.6767  6 Sb 3.17-3.42
Pr  0.6796  0.3204  0.8204  6 Sb 3.16-3.46
Pr  0.8204  0.6796  0.3204  6 Sb 3.16-3.46
Pr  0.8233  0.3233  0.1767  6 Sb 3.17-3.42
Pr  0.9336  0.9336  0.9336  6 Sb 3.20-3.39
Ho  0.0722  0.5722  0.9278  6 Sb 3.11-3.41
Ho  0.4278  0.4278  0.4278  6 Sb 3.11-3.41
Ho  0.5722  0.9278  0.0722  6 Sb 3.11-3.41
Ho  0.9278  0.0722  0.5722  6 Sb 3.11-3.41
Sb  0.0024  0.2574  0.8709  2 Ho 3.11-3.41, 6 Pr 3.16-3.46
Sb  0.1291  0.5024  0.2426  2 Ho 3.11-3.41, 6 Pr 3.16-3.46
Sb  0.2426  0.1291  0.5024  2 Ho 3.11-3.41, 6 Pr 3.16-3.46
Sb  0.2574  0.8709  0.0024  2 Ho 3.11-3.41, 6 Pr 3.16-3.46
Sb  0.3709  0.4976  0.7426  2 Ho 3.11-3.41, 6 Pr 3.16-3.46
Sb  0.4976  0.7426  0.3709  2 Ho 3.11-3.41, 6 Pr 3.16-3.46
Sb  0.5024  0.2426  0.1291  2 Ho 3.11-3.41, 6 Pr 3.16-3.46
Sb  0.6291  0.9976  0.7574  2 Ho 3.11-3.41, 6 Pr 3.16-3.46
Sb  0.7426  0.3709  0.4976  2 Ho 3.11-3.41, 6 Pr 3.16-3.46
Sb  0.7574  0.6291  0.9976  2 Ho 3.11-3.41, 6 Pr 3.16-3.46
Sb  0.8709  0.0024  0.2574  2 Ho 3.11-3.41, 6 Pr 3.16-3.46
Sb  0.9976  0.7574  0.6291  2 Ho 3.11-3.41, 6 Pr 3.16-3.46

Entry ii
# Pr3HoSb3

An optimized crystal structure of Pr3HoSb3 (PBE, the Alexandria database).

Space group   R-3 (148)
Magnetization   0.00 μB per formula unit

Unit cell a=8.2900 b=8.2900 c=8.2900 alpha=67.62 beta=67.62 gamma=67.62
With the nearest neighbours (Å) after each atom.
Fractional positions:
Pr  0.0935  0.3478  0.8215  5 Sb 3.16-3.35
Pr  0.1785  0.9065  0.6522  5 Sb 3.16-3.35
Pr  0.3478  0.8215  0.0935  5 Sb 3.16-3.35
Pr  0.6522  0.1785  0.9065  5 Sb 3.16-3.35
Pr  0.8215  0.0935  0.3478  5 Sb 3.16-3.35
Pr  0.9065  0.6522  0.1785  5 Sb 3.16-3.35
Ho  0.3325  0.3325  0.3325  6 Sb 3.17-3.26
Ho  0.6675  0.6675  0.6675  6 Sb 3.17-3.26
Sb  0.0720  0.6918  0.4690  5 Pr 3.16-3.35, 2 Ho 3.17-3.26
Sb  0.3082  0.5310  0.9280  5 Pr 3.16-3.35, 2 Ho 3.17-3.26
Sb  0.4690  0.0720  0.6918  5 Pr 3.16-3.35, 2 Ho 3.17-3.26
Sb  0.5310  0.9280  0.3082  5 Pr 3.16-3.35, 2 Ho 3.17-3.26
Sb  0.6918  0.4690  0.0720  5 Pr 3.16-3.35, 2 Ho 3.17-3.26
Sb  0.9280  0.3082  0.5310  5 Pr 3.16-3.35, 2 Ho 3.17-3.26

The structure with the most favorable energy is entry i; the runner-up is 9.1 kJ/mol of atoms above it.